Record 1
Computed, not measured: AgAsAu2 after structural relaxation at the PBE level of DFT.

a b c (Å): 5.4942 5.4942 5.4942
angles (deg): 144.30 129.09 63.73
Atoms (fractional coordinates):
Ag 0.4957 0.4957 0.0000
As 0.2340 0.7340 0.5000
Au 0.7608 0.2608 0.5000
Au 0.0095 0.0095 0.0000

Record 2
Computed, not measured: Ag2AsAu2 after structural relaxation at the PBE level of DFT.

a b c (Å): 7.5544 7.5544 3.3846
angles (deg): 90.00 90.00 90.00
Atoms (fractional coordinates):
Ag 0.8444 0.3444 0.5000
Ag 0.1556 0.6556 0.5000
Ag 0.6556 0.8444 0.5000
Ag 0.3444 0.1556 0.5000
Au 0.6420 0.1420 0.0000
Au 0.8580 0.6420 0.0000
Au 0.1420 0.3580 0.0000
Au 0.3580 0.8580 0.0000
As 0.0000 0.0000 0.0000
As 0.5000 0.5000 0.0000

Record 3
Computed, not measured: Ag2AsAu after structural relaxation at the PBE level of DFT.

a b c (Å): 3.0158 3.0158 9.5193
angles (deg): 80.04 80.04 60.10
Atoms (fractional coordinates):
Au 0.6678 0.6678 0.0001
Ag 0.0886 0.0886 0.7498
Ag 0.2467 0.2467 0.2504
As 0.4968 0.4968 0.4997

Record 4
Computed, not measured: AgAs2Au after structural relaxation at the PBE level of DFT.

a b c (Å): 5.2888 5.2888 5.2888
angles (deg): 135.91 131.46 67.64
Atoms (fractional coordinates):
As 0.9906 0.9906 0.0000
As 0.7581 0.2581 0.5000
Au 0.5056 0.5056 0.0000
Ag 0.2457 0.7457 0.5000

Record 5
Computed, not measured: AgAsAu2 after structural relaxation at the PBE level of DFT.

a b c (Å): 4.0226 4.0226 10.0799
angles (deg): 78.49 78.49 90.00
Atoms (fractional coordinates):
As 0.5000 0.5000 0.0000
As 0.2500 0.7500 0.5000
Au 0.6189 0.1250 0.2500
Au 0.1311 0.6250 0.2500
Au 0.3750 0.3811 0.7500
Au 0.8750 0.8689 0.7500
Ag 0.7500 0.2500 0.5000
Ag 0.0000 0.0000 0.0000

Record 6
Computed, not measured: AgAsAu2 after structural relaxation at the PBE level of DFT.

a b c (Å): 5.1403 5.1403 5.1403
angles (deg): 132.06 132.06 70.14
Atoms (fractional coordinates):
Au 0.5000 0.5000 0.0000
Au 0.0000 0.0000 0.0000
Ag 0.2500 0.7500 0.5000
As 0.7500 0.2500 0.5000

Record 7
Computed, not measured: AgAsAu2 after structural relaxation at the PBE level of DFT.

a b c (Å): 8.9949 8.9949 8.9949
angles (deg): 19.97 19.97 19.97
Atoms (fractional coordinates):
As 0.7487 0.7487 0.7487
Au 0.2503 0.2503 0.2503
Au 0.0024 0.0024 0.0024
Ag 0.4987 0.4987 0.4987

Record 8
Computed, not measured: Ag12AsAu3 after structural relaxation at the PBE level of DFT.

a b c (Å): 4.1800 4.1800 16.4768
angles (deg): 90.00 90.00 90.00
Atoms (fractional coordinates):
Ag 0.5000 0.0000 0.3753
Ag 0.0000 0.5000 0.8745
Ag 0.5000 0.0000 0.6247
Ag 0.5000 0.5000 0.0000
Ag 0.5000 0.0000 0.8745
Ag 0.0000 0.5000 0.3753
Ag 0.5000 0.5000 0.2502
Ag 0.0000 0.5000 0.1255
Ag 0.5000 0.0000 0.1255
Ag 0.5000 0.5000 0.5000
Ag 0.5000 0.5000 0.7498
Ag 0.0000 0.5000 0.6247
Au 0.0000 0.0000 0.5000
Au 0.0000 0.0000 0.2509
Au 0.0000 0.0000 0.7491
As 0.0000 0.0000 0.0000

Number 1: formation enthalpy at 0 K 114 meV/atom. Number 2: formation enthalpy at 0 K 163 meV/atom. Number 3: formation enthalpy at 0 K 107 meV/atom. Number 4: formation enthalpy at 0 K 237 meV/atom. Number 5: formation enthalpy at 0 K 166 meV/atom. Number 6: formation enthalpy at 0 K 121 meV/atom. Number 7: formation enthalpy at 0 K 132 meV/atom. Number 8: formation enthalpy at 0 K 6 meV/atom.